This record from the Alexandria database describes a relaxed NdAl6Co crystal. The functional is PBE.

Results
Total magnetization, μB per formula unit: 0.0
Space group: R-3m, No. 166
Formation energy, eV/atom: -0.103
V, A^3/atom: 19.6
Calculated total energy, eV/cell: -35.152

extended XYZ file:
```
8
Lattice="3.165 1.827 4.517 -3.165 1.827 4.517 0.000 -3.654 4.517" Properties=species:S:1:pos:R:3 pbc="T T T"
Nd 0.000 0.000 0.000
Al -1.827 -1.055 5.823
Al 0.000 -2.110 7.728
Al -1.827 1.055 7.728
Al 1.827 -1.055 5.823
Al 0.000 2.110 5.823
Al 1.827 1.055 7.728
Co 0.000 0.000 6.776
```